# Sm3AlZn2

A geometry-optimized Sm3AlZn2 structure (PBE, the Alexandria database).

Computed properties:
The electronic total energy is -44.884 eV/cell. The value obtained for the formation enthalpy at 0 K is -0.33 eV per atom. As for the space-group type: P-3m1.

Unit cell a=5.171 b=5.171 c=12.704 alpha=90.00 beta=90.00 gamma=120.00
Fractional positions:
Sm: 0.000 0.000 0.248
Sm: 0.000 0.000 0.752
Sm: 0.333 0.667 0.417
Sm: 0.333 0.667 0.919
Sm: 0.667 0.333 0.081
Sm: 0.667 0.333 0.583
Al: 0.333 0.667 0.668
Al: 0.667 0.333 0.332
Zn: 0.000 0.000 0.000
Zn: 0.000 0.000 0.500
Zn: 0.333 0.667 0.168
Zn: 0.667 0.333 0.832